Material: Be4SiAs
Method: DFT, SCAN
State: single point on PBEsol structure

abc: 6.3897 6.3897 6.3897
angles: 90.00 90.00 90.00
Closest atoms and distances in Å follow each position.
Space group F-43m (No. 216)
Inequivalent atoms, fractional coordinates:
Be  0.1238  0.1238  0.1238 x16  6 Be 2.24-2.28
Si  0.2500  0.2500  0.7500 x4  12 Be 2.65, 4 As 2.77
As  0.0000  0.0000  0.5000 x4  12 Be 2.65, 4 Si 2.77

Properties
VASP energy = -181.204 eV per cell
total magnetization = 0.0 μB/f.u.

---

Material: RhSBrCl2
Method: DFT, SCAN
State: single point on PBEsol structure

abc: 4.7427 4.7427 4.4813
angles: 90.00 90.00 90.00
Closest atoms and distances in Å follow each position.
Space group P4/mmm (No. 123)
Inequivalent atoms, fractional coordinates:
Rh  0.0000  0.0000  0.0000 x1  2 S 2.24, 4 Cl 2.37
S  0.0000  0.0000  0.5000 x1  2 Rh 2.24
Br  0.5000  0.5000  0.5000 x1  8 Cl 3.26, 4 S 3.35
Cl  0.0000  0.5000  0.0000 x2  2 Rh 2.37

Properties
VASP energy = -78.281 eV per cell
total magnetization = 0.0 μB/f.u.

---

Material: LiReSe
Method: DFT, SCAN
State: single point on PBEsol structure

abc: 5.5667 5.5667 5.5667
angles: 90.00 90.00 90.00
Closest atoms and distances in Å follow each position.
Space group F-43m (No. 216)
Inequivalent atoms, fractional coordinates:
Li  0.0000  0.0000  0.0000 x4  4 Se 2.41, 4 Re 2.41
Re  0.2500  0.2500  0.2500 x4  4 Li 2.41
Se  0.2500  0.2500  0.7500 x4  4 Li 2.41

Properties
VASP energy = -360.734 eV per cell
total magnetization = 1.3 μB/f.u.
excess energy over the best structure of this formula in the dataset = 961 meV per atom

---

Material: K2Cu3Se4O12
Method: DFT, SCAN
State: single point on PBEsol structure

abc: 5.4014 7.2365 8.3293
angles: 97.89 108.34 92.57
Closest atoms and distances in Å follow each position.
Space group P-1 (No. 2)
Inequivalent atoms, fractional coordinates:
K  0.1474  0.0737  0.2871 x2  7 O 2.73-2.93
Cu  0.0000  0.5000  0.0000 x1  4 O 1.97-1.99
Cu  0.3980  0.2515  0.7725 x2  4 O 1.91-1.97
Se  0.1965  0.6323  0.4246 x2  3 O 1.72-1.73
Se  0.4227  0.6791  0.8705 x2  3 O 1.67-1.81
O  0.0523  0.2221  0.6055 x2  1 Se 1.72, 1 Cu 1.93
O  0.1101  0.4639  0.2423 x2  1 Se 1.73
O  0.2700  0.7121  0.0357 x2  1 Se 1.81, 2 Cu 1.97-1.99
O  0.2717  0.2684  0.9672 x2  1 Se 1.76, 1 Cu 1.94
O  0.3738  0.8678  0.7741 x2  1 Se 1.67
O  0.4492  0.7731  0.4066 x2  1 Se 1.72, 1 Cu 1.91

Properties
VASP energy = -240.462 eV per cell
total magnetization = 3.0 μB/f.u.

---

Material: Na4Bi2O5
Method: DFT, SCAN
State: single point on PBEsol structure

abc: 8.6592 6.1569 15.8638
angles: 90.00 117.67 90.00
Closest atoms and distances in Å follow each position.
Space group P2_1/c (No. 14)
Inequivalent atoms, fractional coordinates:
Na  0.0653  0.1686  0.0736 x4  4 O 2.28-2.48
Na  0.2336  0.5358  0.0331 x4  4 O 2.23-2.29
Na  0.3140  0.0427  0.9463 x4  4 O 2.28-2.48
Na  0.3952  0.6102  0.9006 x4  5 O 2.38-2.61
Bi  0.0493  0.6891  0.1952 x4  3 O 2.08-2.13
Bi  0.4501  0.5678  0.6664 x4  3 O 2.08-2.27
O  0.0742  0.5967  0.8734 x4  1 Bi 2.08, 2 Na 2.28
O  0.1392  0.6973  0.5986 x4  1 Bi 2.13, 2 Na 2.29-2.32
O  0.2878  0.5755  0.3030 x4  2 Bi 2.10-2.27, 1 Na 2.29
O  0.3371  0.2021  0.0815 x4  1 Bi 2.08, 3 Na 2.23-2.31
O  0.4684  0.7470  0.0606 x4  1 Bi 2.10, 2 Na 2.28-2.33

Properties
VASP energy = -881.987 eV per cell
total magnetization = 0.0 μB/f.u.
excess energy over the best structure of this formula in the dataset = 64 meV per atom

---

Material: TeAuSe2
Method: DFT, SCAN
State: single point on PBEsol structure

abc: 4.0552 4.0552 5.5171
angles: 90.00 90.00 90.00
Closest atoms and distances in Å follow each position.
Space group P4/mmm (No. 123)
Inequivalent atoms, fractional coordinates:
Te  0.0000  0.0000  0.0000 x1  6 Se 2.76-2.87
Au  0.5000  0.5000  0.5000 x1  6 Se 2.76-2.87
Se  0.0000  0.0000  0.5000 x1  2 Te 2.76, 4 Au 2.87
Se  0.5000  0.5000  0.0000 x1  2 Au 2.76, 4 Te 2.87

Properties
VASP energy = -146.156 eV per cell
total magnetization = 0.0 μB/f.u.
excess energy over the best structure of this formula in the dataset = 106 meV per atom

---

Material: BaNd2Ti3O10
Method: DFT, SCAN
State: single point on PBEsol structure

abc: 3.8887 28.0143 7.6073
angles: 90.00 90.00 90.00
Closest atoms and distances in Å follow each position.
Space group Cmcm (No. 63)
Inequivalent atoms, fractional coordinates:
Ba  0.0000  0.2434  0.2500 x4  6 O 2.65-2.67
Nd  0.0000  0.0726  0.2500 x4  6 O 2.39-2.49
Nd  0.0000  0.0804  0.7500 x4  8 O 2.41-2.70
Ti  0.0000  0.3541  0.5056 x8  2 O 1.76-1.94
Ti  0.0000  0.5000  0.0000 x4  6 O 1.92-1.96
O  0.0000  0.0000  0.0000 x4  2 Ti 1.94
O  0.0000  0.1305  0.0079 x8  2 Ti 1.99
O  0.0000  0.2924  0.5487 x8  1 Ti 1.76
O  0.0000  0.3530  0.2500 x4  2 Ti 1.94
O  0.0000  0.3780  0.7500 x4  2 Ti 1.98
O  0.0000  0.4331  0.0544 x8  1 Ti 1.92
O  0.0000  0.4829  0.7500 x4  2 Ti 1.96

Properties
VASP energy = -1175.244 eV per cell
total magnetization = 0.0 μB/f.u.

---

Material: BaMnTe2
Method: DFT, SCAN
State: single point on PBEsol structure

abc: 4.2956 4.2956 7.5797
angles: 90.00 90.00 90.00
Closest atoms and distances in Å follow each position.
Space group P4mm (No. 99)
Inequivalent atoms, fractional coordinates:
Ba  0.0000  0.0000  0.0000 x1  5 Te 3.29-3.39
Mn  0.5000  0.5000  0.4859 x1  1 Te 2.64
Te  0.0000  0.0000  0.4478 x1  4 Mn 3.05, 1 Ba 3.39
Te  0.5000  0.5000  0.8339 x1  1 Mn 2.64

Properties
VASP energy = -136.244 eV per cell
total magnetization = 5.0 μB/f.u.

---

Material: Re2SiAu
Method: DFT, SCAN
State: single point on PBEsol structure

abc: 6.1913 6.1913 6.1913
angles: 90.00 90.00 90.00
Closest atoms and distances in Å follow each position.
Space group F-43m (No. 216)
Inequivalent atoms, fractional coordinates:
Re  0.0000  0.0000  0.0000 x4  4 Au 2.68, 4 Re 2.68
Re  0.2500  0.2500  0.2500 x4  4 Re 2.68, 4 Si 2.68
Si  0.0000  0.0000  0.5000 x4  4 Re 2.68, 4 Au 2.68
Au  0.2500  0.2500  0.7500 x4  4 Re 2.68, 4 Si 2.68

Properties
VASP energy = -875.808 eV per cell
total magnetization = 0.0 μB/f.u.

---

Material: LiHfTe3
Method: DFT, SCAN
State: single point on PBEsol structure

abc: 4.9390 4.9390 4.9390
angles: 90.00 90.00 90.00
Closest atoms and distances in Å follow each position.
Space group Pm-3m (No. 221)
Inequivalent atoms, fractional coordinates:
Li  0.0000  0.0000  0.0000 x1  6 Te 2.47
Hf  0.5000  0.5000  0.5000 x1  12 Te 3.49
Te  0.0000  0.0000  0.5000 x3  2 Li 2.47

Properties
VASP energy = -174.949 eV per cell
total magnetization = 0.0 μB/f.u.

---

Material: AsPbAu2
Method: DFT, SCAN
State: single point on PBEsol structure

abc: 6.8838 3.9832 6.8358
angles: 90.00 109.67 90.00
Closest atoms and distances in Å follow each position.
Space group Cm (No. 8)
Inequivalent atoms, fractional coordinates:
As  0.0000  0.0000  0.0000 x2  3 Au 2.54
Pb  0.2204  0.0000  0.6643 x2  3 Au 2.85, 3 As 3.15-3.16
Au  0.2225  0.5000  0.1688 x2  3 As 2.54, 3 Au 2.75
Au  0.4671  0.0000  0.4032 x2  3 Au 2.75, 3 Pb 2.85

Properties
DFT formation energy = -0.05 eV per atom
VASP energy = -468.937 eV per cell
total magnetization = 0.0 μB/f.u.

---

Material: MnSi2
Method: DFT, SCAN
State: single point on PBEsol structure

abc: 4.1731 4.1731 2.4684
angles: 90.00 90.00 120.00
Closest atoms and distances in Å follow each position.
Space group P6/mmm (No. 191)
Inequivalent atoms, fractional coordinates:
Mn  0.0000  0.0000  0.0000 x1  2 Mn 2.47, 12 Si 2.71
Si  0.3333  0.6667  0.5000 x2  5 Si 2.41-2.47

Properties
VASP energy = -37.734 eV per cell
total magnetization = 2.9 μB/f.u.

---

Material: MnCu2Pb
Method: DFT, SCAN
State: single point on PBEsol structure

abc: 4.0126 4.0126 7.5640
angles: 90.00 90.00 90.00
Closest atoms and distances in Å follow each position.
Space group I-4m2 (No. 119)
Inequivalent atoms, fractional coordinates:
Mn  0.0000  0.0000  0.0000 x2  4 Pb 2.76, 8 Cu 2.76-2.84
Cu  0.0000  0.0000  0.5000 x2  4 Pb 2.76, 4 Cu 2.76, 4 Mn 2.84
Cu  0.0000  0.5000  0.7500 x2  4 Mn 2.76, 4 Cu 2.76, 4 Pb 2.84
Pb  0.0000  0.5000  0.2500 x2  4 Mn 2.76, 8 Cu 2.76-2.84

Properties
DFT formation energy = 0.20 eV per atom
VASP energy = -247.299 eV per cell
total magnetization = 4.0 μB/f.u.

---

Material: La3YI
Method: DFT, SCAN
State: single point on PBEsol structure

abc: 5.7919 5.7919 5.7919
angles: 90.00 90.00 90.00
Closest atoms and distances in Å follow each position.
Space group Pm-3m (No. 221)
Inequivalent atoms, fractional coordinates:
La  0.0000  0.0000  0.5000 x3  2 Y 2.90
Y  0.0000  0.0000  0.0000 x1  6 La 2.90
I  0.5000  0.5000  0.5000 x1  12 La 4.10

Properties
VASP energy = -191.963 eV per cell
total magnetization = 0.0 μB/f.u.

---

Material: ReSn2AsCl
Method: DFT, SCAN
State: single point on PBEsol structure

abc: 5.5117 5.5117 4.5840
angles: 90.00 90.00 90.00
Closest atoms and distances in Å follow each position.
Space group P4/mmm (No. 123)
Inequivalent atoms, fractional coordinates:
Re  0.0000  0.0000  0.0000 x1  2 As 2.29
Sn  0.0000  0.5000  0.5000 x2  2 As 2.76
As  0.0000  0.0000  0.5000 x1  2 Re 2.29
Cl  0.5000  0.5000  0.0000 x1  8 Sn 3.58, 4 Re 3.90

Properties
VASP energy = -166.054 eV per cell
total magnetization = 2.2 μB/f.u.

---

Material: CsGe2RuI
Method: DFT, SCAN
State: single point on PBEsol structure

abc: 4.8022 4.8022 6.1908
angles: 90.00 90.00 90.00
Closest atoms and distances in Å follow each position.
Space group P4/mmm (No. 123)
Inequivalent atoms, fractional coordinates:
Cs  0.0000  0.0000  0.0000 x1  2 Ru 3.10, 4 I 3.40
Ge  0.0000  0.5000  0.5000 x2  2 Ru 2.40
Ru  0.0000  0.0000  0.5000 x1  4 Ge 2.40
I  0.5000  0.5000  0.0000 x1  4 Cs 3.40

Properties
VASP energy = -147.555 eV per cell
total magnetization = 0.0 μB/f.u.

---

Material: Ba5Cd3
Method: DFT, SCAN
State: single point on PBEsol structure

abc: 13.7228 13.7228 6.9484
angles: 90.00 90.00 90.00
Closest atoms and distances in Å follow each position.
Space group I4/mcm (No. 140)
Inequivalent atoms, fractional coordinates:
Ba  0.0000  0.5000  0.2500 x4  2 Ba 3.47, 4 Cd 3.55
Ba  0.0848  0.2130  0.0000 x16  4 Cd 3.58-3.78, 1 Ba 3.92
Cd  0.0000  0.0000  0.2500 x4  2 Cd 3.47, 8 Ba 3.59
Cd  0.1597  0.3403  0.5000 x8  6 Ba 3.55-3.78

Properties
DFT formation energy = -0.22 eV per atom
VASP energy = -1163.139 eV per cell
total magnetization = 0.0 μB/f.u.
excess energy over the best structure of this formula in the dataset = 21 meV per atom

---

Material: BaHgRh2
Method: DFT, SCAN
State: single point on PBEsol structure

abc: 3.1553 4.9560 10.5389
angles: 90.00 90.00 90.00
Closest atoms and distances in Å follow each position.
Space group Imm2 (No. 44)
Inequivalent atoms, fractional coordinates:
Ba  0.0000  0.0000  0.0000 x2  4 Rh 2.95, 2 Ba 3.16
Hg  0.0000  0.5000  0.7882 x2  6 Rh 2.96-3.02, 2 Hg 3.16
Rh  0.0000  0.0000  0.5259 x2  2 Rh 2.61
Rh  0.0000  0.5000  0.2238 x2  2 Rh 2.61

Properties
DFT formation energy = 0.21 eV per atom
VASP energy = -348.838 eV per cell
total magnetization = 0.0 μB/f.u.

---

Material: Sr2ZnAs
Method: DFT, SCAN
State: single point on PBEsol structure

abc: 4.3430 4.4750 11.5935
angles: 90.00 90.00 90.00
Closest atoms and distances in Å follow each position.
Space group Amm2 (No. 38)
Inequivalent atoms, fractional coordinates:
Sr  0.0000  0.0000  0.0000 x2  4 Zn 3.22, 3 As 3.32-3.34
Sr  0.5000  0.0000  0.2774 x2  4 As 3.21, 3 Zn 3.30-3.37
Zn  0.5000  0.0000  0.5679 x2  2 As 2.74
As  0.0000  0.0000  0.7120 x2  2 Zn 2.74

Properties
DFT formation energy = -0.80 eV per atom
VASP energy = -162.875 eV per cell
total magnetization = 0.0 μB/f.u.
excess energy over the best structure of this formula in the dataset = 0 meV per atom

---

Material: ScCdSb2I
Method: DFT, SCAN
State: single point on PBEsol structure

abc: 5.5007 5.5007 5.4816
angles: 90.00 90.00 90.00
Closest atoms and distances in Å follow each position.
Space group P4/mmm (No. 123)
Inequivalent atoms, fractional coordinates:
Sc  0.0000  0.0000  0.0000 x1  2 I 2.74, 4 Sb 2.75
Cd  0.5000  0.5000  0.5000 x1  8 Sb 3.88, 4 I 3.89
Sb  0.0000  0.5000  0.0000 x2  2 Sc 2.75
I  0.0000  0.0000  0.5000 x1  2 Sc 2.74

Properties
VASP energy = -155.510 eV per cell
total magnetization = 0.0 μB/f.u.

---

no.,mass density (g cm⁻³)
1,3.54
2,4.71
3,10.48
4,4.23
5,5.23
6,8.83
7,5.85
8,5.31
9,16.72
10,7.83
11,12.72
12,4.96
13,10.61
14,5.41
15,6.37
16,5.89
17,5.20
18,10.96
19,4.65
20,5.28